# PaCr2InO8

A geometry-optimized PaCr2InO8 structure (PBE with a Hubbard U, Alexandria via LeMat-Bulk). Values from VASP.

Raw total energy (eV/atom): -7.605
Theoretical density (Mg/m³): 6.00

```
&SYSTEM
  ibrav = 0, nat = 12, ntyp = 4
/
ATOMIC_SPECIES
Pa 231.04 Pa.upf
Cr 52.00 Cr.upf
In 114.82 In.upf
O 16.00 O.upf
CELL_PARAMETERS angstrom
-3.4961 3.4961 3.2694
3.4961 -3.4961 3.2694
3.4961 3.4961 -3.2694
ATOMIC_POSITIONS angstrom
Pa 0.0000 0.0000 0.0000
Cr 0.0000 0.0000 3.2694
Cr 0.0000 3.4961 1.6347
In 3.4961 0.0000 1.6347
O 2.1977 3.4961 -1.2531
O 1.2984 0.0000 2.0163
O 0.0000 2.1675 0.4391
O 3.4961 2.1977 1.2531
O 0.0000 4.8246 0.4391
O 0.0000 1.2984 4.5226
O -1.3285 3.4961 2.8304
O 1.3285 3.4961 2.8304
```